<A>
## Sr2Ge2O5 (PBE-GGA)

Data for crystalline Sr2Ge2O5 at its relaxed geometry.

CIF file:
```
data_Sr2Ge2O5
_chemical_formula_sum 'Sr4 Ge4 O10'
_symmetry_space_group_name_H-M 'C 1 2/m 1'
_symmetry_Int_Tables_number 12
_cell_length_a 11.812
_cell_length_b 4.098
_cell_length_c 6.178
_cell_angle_alpha 90.00
_cell_angle_beta 113.00
_cell_angle_gamma 90.00
loop_
_symmetry_equiv_pos_as_xyz
'x,y,z'
'-x,-y,-z'
'-x,y,-z'
'x,-y,z'
'x+1/2,y+1/2,z'
'-x+1/2,-y+1/2,-z'
'-x+1/2,y+1/2,-z'
'x+1/2,-y+1/2,z'
loop_
_atom_site_label
_atom_site_fract_x
_atom_site_fract_y
_atom_site_fract_z
Sr1 0.111 0.000 0.303
Ge1 0.147 0.500 0.855
O1 0.000 0.500 0.000
O2 0.161 0.500 0.570
O3 0.179 0.000 0.940
```

***

<B>
## Sr2Ge2O5 (PBE-GGA)

Data for crystalline Sr2Ge2O5 at its relaxed geometry.

CIF file:
```
data_Sr2Ge2O5
_chemical_formula_sum 'Sr2 Ge2 O5'
_symmetry_space_group_name_H-M 'P 4/m m m'
_symmetry_Int_Tables_number 123
_symmetry_space_group_name_Hall '-P 4 2'
_cell_length_a 4.033
_cell_length_b 4.033
_cell_length_c 7.401
_cell_angle_alpha 90.00
_cell_angle_beta 90.00
_cell_angle_gamma 90.00
loop_
_atom_site_label
_atom_site_fract_x
_atom_site_fract_y
_atom_site_fract_z
Sr1 0.000 0.000 0.000
Sr2 0.000 0.000 0.500
Ge1 0.500 0.500 0.244
O1 0.000 0.500 0.232
O2 0.500 0.500 0.500
```

***

Verdict on stability: <B> comes out on top.

***

<A>
## Sr2Ge2O (PBE-GGA)

Data for crystalline Sr2Ge2O at its relaxed geometry.

CIF file:
```
data_Sr2Ge2O
_chemical_formula_sum 'Sr4 Ge4 O2'
_symmetry_space_group_name_H-M 'I 4/m m m'
_symmetry_Int_Tables_number 139
_symmetry_space_group_name_Hall '-I 4 2'
_cell_length_a 3.636
_cell_length_b 3.636
_cell_length_c 16.822
_cell_angle_alpha 90.00
_cell_angle_beta 90.00
_cell_angle_gamma 90.00
loop_
_atom_site_label
_atom_site_fract_x
_atom_site_fract_y
_atom_site_fract_z
Sr1 0.000 0.000 0.091
Ge1 0.000 0.500 0.250
O1 0.000 0.000 0.500
```

***

<B>
## Sr2Ge2O (PBE-GGA)

Data for crystalline Sr2Ge2O at its relaxed geometry.

CIF file:
```
data_Sr2Ge2O
_chemical_formula_sum 'Sr4 Ge4 O2'
_symmetry_space_group_name_H-M 'P 4/m b m'
_symmetry_Int_Tables_number 127
_symmetry_space_group_name_Hall '-P 4 2ab'
_cell_length_a 7.302
_cell_length_b 7.302
_cell_length_c 5.059
_cell_angle_alpha 90.00
_cell_angle_beta 90.00
_cell_angle_gamma 90.00
loop_
_atom_site_label
_atom_site_fract_x
_atom_site_fract_y
_atom_site_fract_z
Sr1 0.205 0.295 0.000
Ge1 0.110 0.610 0.500
O1 0.000 0.000 0.000
```

***

Verdict on stability: <A> comes out on top.